Entry 1:
This record from OQMD via LeMat-Bulk describes a relaxed LuInNiPd crystal. The functional is GGA-PBE.

Structure (extended XYZ):
```
4
Lattice="0.000 3.318 3.318 3.318 0.000 3.318 3.318 3.318 0.000" Properties=species:S:1:pos:R:3 pbc="T T T"
Lu 0.000 0.000 0.000
In 1.659 1.659 1.659
Ni 3.318 3.318 3.318
Pd 4.977 4.977 4.977
```

Summary:
Final energy (eV/cell): -19.29



Entry 2:
This record from OQMD via LeMat-Bulk describes a relaxed TbDyGa2Pd4 crystal. The functional is GGA-PBE.

Structure (extended XYZ):
```
8
Lattice="4.415 0.000 0.000 -2.208 3.824 0.000 0.000 0.000 9.029" Properties=species:S:1:pos:R:3 pbc="T T T"
Tb 0.000 0.000 0.000
Dy 2.208 1.275 4.514
Ga 0.000 2.549 2.258
Ga 0.000 2.549 6.771
Pd 0.000 0.000 2.993
Pd 0.000 0.000 6.036
Pd 2.208 1.275 1.524
Pd 2.208 1.275 7.505
```

Summary:
Final energy (eV/cell): -43.14



Entry 3:
This record from OQMD via LeMat-Bulk describes a relaxed NbSi2Au crystal. The functional is GGA-PBE.

Structure (extended XYZ):
```
8
Lattice="3.731 0.000 0.000 0.000 3.731 0.000 0.000 0.000 9.254" Properties=species:S:1:pos:R:3 pbc="T T T"
Nb 0.933 0.933 1.944
Nb 2.798 2.798 7.310
Si 0.933 0.933 6.599
Si 0.933 2.798 0.000
Si 2.798 0.933 0.000
Si 2.798 2.798 2.655
Au 0.933 2.798 4.627
Au 2.798 0.933 4.627
```

Summary:
Final energy (eV/cell): -50.37



Entry 4:
This record from OQMD via LeMat-Bulk describes a relaxed Nd2HoIn3AgPd2 crystal. The functional is GGA-PBE.

Structure (extended XYZ):
```
9
Lattice="3.889 0.000 0.000 0.000 6.805 3.948 0.000 -6.805 3.948" Properties=species:S:1:pos:R:3 pbc="T T T"
Nd 0.000 -4.020 3.948
Nd 0.000 4.020 3.948
Ho 0.000 0.000 4.850
In 1.945 -1.781 2.683
In 1.945 1.781 2.683
In 1.945 0.000 7.386
Ag 0.000 0.000 1.637
Pd 1.945 -2.220 5.553
Pd 1.945 2.220 5.553
```

Summary:
Final energy (eV/cell): -41.55



Entry 5:
This record from OQMD via LeMat-Bulk describes a relaxed La2GePt8 crystal. The functional is GGA-PBE.

Structure (extended XYZ):
```
11
Lattice="4.321 0.000 0.000 0.000 8.930 2.762 0.000 -8.930 2.762" Properties=species:S:1:pos:R:3 pbc="T T T"
La 0.000 -6.719 2.762
La 0.000 6.719 2.762
Ge 2.160 0.000 1.464
Pt 0.000 -3.613 2.788
Pt 0.000 0.000 2.791
Pt 0.000 3.613 2.788
Pt 2.160 -4.479 1.429
Pt 2.160 -2.027 2.793
Pt 2.160 4.479 1.429
Pt 2.160 2.027 2.793
Pt 2.160 0.000 4.643
```

Summary:
Final energy (eV/cell): -72.53



Entry 6:
This record from OQMD via LeMat-Bulk describes a relaxed LaLuCuTe3 crystal. The functional is GGA-PBE.

Structure (extended XYZ):
```
12
Lattice="2.111 -7.142 0.000 2.111 7.142 0.000 0.000 0.000 11.020" Properties=species:S:1:pos:R:3 pbc="T T T"
La 2.111 3.762 8.265
La 2.111 -3.762 2.755
Lu 0.000 0.000 0.000
Lu 0.000 0.000 5.510
Cu 2.111 0.458 2.755
Cu 2.111 -0.458 8.265
Te 2.111 5.946 2.755
Te 2.111 2.061 0.663
Te 2.111 2.061 4.846
Te 2.111 -2.061 6.173
Te 2.111 -2.061 10.356
Te 2.111 -5.946 8.265
```

Summary:
Final energy (eV/cell): -58.20